1.
DFT (GGA-PBE) results for a relaxed KPaSb crystal.

The structure in CIF format:
```
data_KPaSb
_symmetry_space_group_name_H-M 'R -3 m'
_symmetry_Int_Tables_number 166
_symmetry_space_group_name_Hall '-R 3 2"'
_cell_length_a 4.3621
_cell_length_b 4.3621
_cell_length_c 42.0065
_cell_angle_alpha 90.00
_cell_angle_beta 90.00
_cell_angle_gamma 120.00
loop_
_atom_site_label
_atom_site_type_symbol
_atom_site_fract_x
_atom_site_fract_y
_atom_site_fract_z
_atom_site_occupancy
K1 K 0.0000 0.0000 0.1176 1
Pa1 Pa 0.0000 0.0000 0.3182 1
Sb1 Sb 0.0000 0.0000 0.3934 1
```

=====

2.
# Sr2CaLaRh (GGA-PBE, relaxed)
data_Sr2CaLaRh
_symmetry_space_group_name_H-M 'P 4/m m m'
_symmetry_Int_Tables_number 123
_symmetry_space_group_name_Hall '-P 4 2'
_cell_length_a 6.071
_cell_length_b 6.071
_cell_length_c 5.467
_cell_angle_alpha 90.00
_cell_angle_beta 90.00
_cell_angle_gamma 90.00
loop_
_atom_site_label
_atom_site_type_symbol
_atom_site_fract_x
_atom_site_fract_y
_atom_site_fract_z
_atom_site_occupancy
Sr1 Sr 0.000 0.500 0.000 1
Ca1 Ca 0.000 0.000 0.500 1
La1 La 0.500 0.500 0.500 1
Rh1 Rh 0.500 0.500 0.000 1
# Formation energy   -105.5 kJ/mol of formula units

=====

3.
# HoTh2OsC2 (GGA-PBE, relaxed)
data_HoTh2OsC2
_symmetry_space_group_name_H-M 'P n n m'
_symmetry_Int_Tables_number 58
_cell_length_a 5.781
_cell_length_b 11.174
_cell_length_c 3.778
_cell_angle_alpha 90.00
_cell_angle_beta 90.00
_cell_angle_gamma 90.00
loop_
_symmetry_equiv_pos_as_xyz
'x,y,z'
'-x,-y,-z'
'-x,-y,z'
'x,y,-z'
'x+1/2,-y+1/2,-z+1/2'
'-x+1/2,y+1/2,z+1/2'
'-x+1/2,y+1/2,-z+1/2'
'x+1/2,-y+1/2,z+1/2'
loop_
_atom_site_label
_atom_site_type_symbol
_atom_site_fract_x
_atom_site_fract_y
_atom_site_fract_z
_atom_site_occupancy
Ho1 Ho 0.000 0.000 0.000 1
Th1 Th 0.043 0.292 0.500 1
Os1 Os 0.000 0.500 0.000 1
C1 C 0.221 0.888 0.500 1
# Formation energy   -107.3 kJ/mol of formula units

=====

4.
# SrTcW4 (GGA-PBE, relaxed)
data_SrTcW4
_symmetry_space_group_name_H-M 'F -4 3 m'
_symmetry_Int_Tables_number 216
_symmetry_space_group_name_Hall 'F -4 2 3'
_cell_length_a 7.667
_cell_length_b 7.667
_cell_length_c 7.667
_cell_angle_alpha 90.00
_cell_angle_beta 90.00
_cell_angle_gamma 90.00
loop_
_atom_site_label
_atom_site_type_symbol
_atom_site_fract_x
_atom_site_fract_y
_atom_site_fract_z
_atom_site_occupancy
Sr1 Sr 0.000 0.000 0.000 1
Tc1 Tc 0.250 0.250 0.750 1
W1 W 0.125 0.125 0.375 1
# Formation energy   444.8 kJ/mol of formula units

=====

| no. | total DFT energy (no corrections) (eV for the cell shown) |
| --- | --- |
| 1 | -89.39 |
| 2 | -18.74 |
| 3 | -100.41 |
| 4 | -237.00 |